(1)
Density functional theory data (PBE) for a relaxed structure of Li2PbC.

Density of states at the Fermi level in states/eV/atom: 0.565
Total magnetic moment in μB/f.u.: 0.00
Energy relative to the elements in eV per atom: 0.852
Mass density in Mg/m³: 6.25
Raw total energy in eV per atom: -3.34

Geometry as CIF:
```
data_Li2PbC
_symmetry_space_group_name_H-M 'P 1'
_symmetry_Int_Tables_number 1
_symmetry_space_group_name_Hall 'P 1'
_cell_length_a 8.926
_cell_length_b 8.926
_cell_length_c 8.926
_cell_angle_alpha 155.32
_cell_angle_beta 155.32
_cell_angle_gamma 35.19
loop_
_atom_site_label
_atom_site_type_symbol
_atom_site_fract_x
_atom_site_fract_y
_atom_site_fract_z
Li1 Li 0.043 0.625 0.918
Li2 Li 0.375 0.293 0.418
Li3 Li 0.707 0.125 0.082
Li4 Li 0.875 0.957 0.582
Pb1 Pb 0.250 0.750 0.500
Pb2 Pb 0.500 0.500 0.000
C1 C 0.000 0.000 0.000
C2 C 0.750 0.250 0.500
```

(2)
Density functional theory data (PBE) for a relaxed structure of Rb2SiBi.

Density of states at the Fermi level in states/eV/atom: 0.611
Total magnetic moment in μB/f.u.: 0.97
Formation energy (no corrections) in meV/atom: 424
Mass density in Mg/m³: 4.32
Raw total energy in eV per atom: -2.39

Geometry as CIF:
```
data_Rb2SiBi
_symmetry_space_group_name_H-M 'P 1'
_symmetry_Int_Tables_number 1
_symmetry_space_group_name_Hall 'P 1'
_cell_length_a 6.051
_cell_length_b 6.051
_cell_length_c 6.051
_cell_angle_alpha 60.00
_cell_angle_beta 60.00
_cell_angle_gamma 60.00
loop_
_atom_site_label
_atom_site_type_symbol
_atom_site_fract_x
_atom_site_fract_y
_atom_site_fract_z
Rb1 Rb 0.250 0.250 0.250
Rb2 Rb 0.750 0.750 0.750
Si1 Si 0.000 0.000 0.000
Bi1 Bi 0.500 0.500 0.500
```

(3)
Density functional theory data (PBE) for a relaxed structure of YHfTc2Te.

Density of states at the Fermi level in states/eV/atom: 1.074
Total magnetic moment in μB/f.u.: 2.31
Formation energy (no corrections) in meV/atom: 1670
Mass density in Mg/m³: 7.78
Raw total energy in eV per atom: -6.39

Geometry as CIF:
```
data_YHfTc2Te
_symmetry_space_group_name_H-M 'P 1'
_symmetry_Int_Tables_number 1
_symmetry_space_group_name_Hall 'P 1'
_cell_length_a 4.796
_cell_length_b 4.796
_cell_length_c 5.484
_cell_angle_alpha 90.00
_cell_angle_beta 90.00
_cell_angle_gamma 90.00
loop_
_atom_site_label
_atom_site_type_symbol
_atom_site_fract_x
_atom_site_fract_y
_atom_site_fract_z
Y1 Y 0.000 0.000 0.000
Hf1 Hf 0.500 0.500 0.500
Tc1 Tc 0.000 0.500 0.000
Tc2 Tc 0.500 0.000 0.000
Te1 Te 0.000 0.000 0.500
```

(4)
Density functional theory data (PBE) for a relaxed structure of SbMoP.

Density of states at the Fermi level in states/eV/atom: 1.056
Total magnetic moment in μB/f.u.: 0.00
Formation energy (no corrections) in meV/atom: 637
Mass density in Mg/m³: 7.07
Raw total energy in eV per atom: -6.15

Geometry as CIF:
```
data_SbMoP
_symmetry_space_group_name_H-M 'P 1'
_symmetry_Int_Tables_number 1
_symmetry_space_group_name_Hall 'P 1'
_cell_length_a 4.355
_cell_length_b 4.355
_cell_length_c 4.355
_cell_angle_alpha 60.00
_cell_angle_beta 60.00
_cell_angle_gamma 60.00
loop_
_atom_site_label
_atom_site_type_symbol
_atom_site_fract_x
_atom_site_fract_y
_atom_site_fract_z
Sb1 Sb 0.000 0.000 0.000
Mo1 Mo 0.500 0.500 0.500
P1 P 0.750 0.750 0.750
```

(5)
Density functional theory data (PBE) for a relaxed structure of Pr6SmY2Mg.

Density of states at the Fermi level in states/eV/atom: 1.393
Total magnetic moment in μB/f.u.: 0.00
Energy relative to the elements in eV per atom: 0.099
Mass density in Mg/m³: 5.81
Raw total energy in eV per atom: -4.69

Geometry as CIF:
```
data_Pr6SmY2Mg
_symmetry_space_group_name_H-M 'P 1'
_symmetry_Int_Tables_number 1
_symmetry_space_group_name_Hall 'P 1'
_cell_length_a 8.711
_cell_length_b 8.711
_cell_length_c 9.517
_cell_angle_alpha 96.25
_cell_angle_beta 96.25
_cell_angle_gamma 105.28
loop_
_atom_site_label
_atom_site_type_symbol
_atom_site_fract_x
_atom_site_fract_y
_atom_site_fract_z
Pr1 Pr 0.039 0.465 0.671
Pr2 Pr 0.065 0.827 0.904
Pr3 Pr 0.173 0.935 0.596
Pr4 Pr 0.241 0.579 0.078
Pr5 Pr 0.421 0.759 0.422
Pr6 Pr 0.465 0.039 0.171
Pr7 Pr 0.535 0.961 0.829
Pr8 Pr 0.579 0.241 0.578
Pr9 Pr 0.759 0.421 0.922
Pr10 Pr 0.827 0.065 0.404
Pr11 Pr 0.935 0.173 0.096
Pr12 Pr 0.961 0.535 0.329
Sm1 Sm 0.433 0.567 0.750
Sm2 Sm 0.567 0.433 0.250
Y1 Y 0.234 0.300 0.404
Y2 Y 0.300 0.234 0.904
Y3 Y 0.700 0.766 0.096
Y4 Y 0.766 0.700 0.596
Mg1 Mg 0.097 0.903 0.250
Mg2 Mg 0.903 0.097 0.750
```

(6)
Density functional theory data (PBE) for a relaxed structure of Pr2NiSb3Pd4.

Density of states at the Fermi level in states/eV/atom: 0.861
Total magnetic moment in μB/f.u.: 0.00
Formation energy (no corrections) in meV/atom: -734
Mass density in Mg/m³: 8.73
Raw total energy in eV per atom: -5.58

Geometry as CIF:
```
data_Pr2NiSb3Pd4
_symmetry_space_group_name_H-M 'P 1'
_symmetry_Int_Tables_number 1
_symmetry_space_group_name_Hall 'P 1'
_cell_length_a 4.484
_cell_length_b 4.484
_cell_length_c 10.701
_cell_angle_alpha 90.00
_cell_angle_beta 90.00
_cell_angle_gamma 90.00
loop_
_atom_site_label
_atom_site_type_symbol
_atom_site_fract_x
_atom_site_fract_y
_atom_site_fract_z
Pr1 Pr 0.000 0.500 0.244
Pr2 Pr 0.500 0.000 0.756
Ni1 Ni 0.500 0.500 0.000
Sb1 Sb 0.000 0.000 0.000
Sb2 Sb 0.000 0.500 0.637
Sb3 Sb 0.500 0.000 0.363
Pd1 Pd 0.000 0.000 0.500
Pd2 Pd 0.000 0.500 0.878
Pd3 Pd 0.500 0.000 0.122
Pd4 Pd 0.500 0.500 0.500
```